Entry 1:
RbCeCuO4 | PBE | optimized geometry

Cell: 5.693 5.756 8.371 Å, 90.00 118.06 90.00°
Positions (direct):
Rb1 0.567 0.750 0.906
Rb2 0.433 0.250 0.094
O1 0.054 0.485 0.681
O2 0.054 0.015 0.681
O3 0.544 0.250 0.452
O4 0.456 0.750 0.548
O5 0.608 0.250 0.798
O6 0.946 0.515 0.319
O7 0.946 0.985 0.319
O8 0.392 0.750 0.202
Cu1 0.168 0.750 0.301
Cu2 0.832 0.250 0.699
Ce1 0.773 0.750 0.468
Ce2 0.227 0.250 0.532

Computed properties:
spin magnetization	2.05	μB per formula unit
VASP energy	-86.9	eV for the cell shown

***

Entry 2:
BaLaCl2 | PBE | optimized geometry

Cell: 4.604 4.604 7.122 Å, 75.53 75.53 52.01°
Positions (direct):
Ba1 0.750 0.750 0.750
Cl1 0.505 0.505 0.479
Cl2 0.995 0.995 0.021
La1 0.250 0.250 0.250

Computed properties:
spin magnetization	0.00	μB per formula unit
ΔE to the lowest computed polymorph	27.0	meV/atom
VASP energy	-16.8	eV for the cell shown

***

Entry 3:
KInSb2Pb | PBE | optimized geometry

Cell: 5.040 9.681 9.725 Å, 55.82 74.98 74.91°
Positions (direct):
Pb1 0.570 0.596 0.264
Pb2 0.430 0.404 0.736
In1 0.064 0.098 0.774
In2 0.936 0.902 0.226
Sb1 0.383 0.802 0.433
Sb2 0.617 0.198 0.567
Sb3 0.117 0.734 0.031
Sb4 0.883 0.266 0.969
K1 0.246 0.255 0.254
K2 0.754 0.745 0.746

Computed properties:
spin magnetization	0.00	μB per formula unit
VASP energy	-33.8	eV for the cell shown

***

Entry 4:
PrTlRh2 | PBE | optimized geometry

Cell: 3.528 3.528 6.538 Å, 90.00 90.00 90.00°
Positions (direct):
Rh1 0.000 0.000 0.269
Rh2 0.000 0.000 0.731
Pr1 0.500 0.500 0.000
Tl1 0.500 0.500 0.500

Computed properties:
spin magnetization	0.00	μB per formula unit
VASP energy	-23.0	eV for the cell shown
energy of formation	-0.28	eV per atom

***

Entry 5:
BeRh2Se | PBE | optimized geometry

Cell: 4.309 4.309 4.309 Å, 60.00 60.00 60.00°
Positions (direct):
Be1 0.500 0.500 0.500
Rh1 0.000 0.000 0.000
Rh2 0.750 0.750 0.750
Se1 0.250 0.250 0.250

Computed properties:
spin magnetization	0.00	μB per formula unit
ΔE to the lowest computed polymorph	479.7	meV/atom
VASP energy	-20.8	eV for the cell shown

***

Entry 6:
SmMn2SiN | PBE | optimized geometry

Cell: 3.688 5.644 7.033 Å, 90.00 90.00 109.07°
Positions (direct):
N1 0.000 0.000 0.000
N2 0.000 0.000 0.500
Mn1 0.833 0.667 0.442
Mn2 0.167 0.333 0.558
Mn3 0.167 0.333 0.942
Mn4 0.833 0.667 0.058
Sm1 0.545 0.090 0.250
Sm2 0.455 0.910 0.750
Si1 0.732 0.464 0.750
Si2 0.268 0.536 0.250

Computed properties:
spin magnetization	2.54	μB per formula unit
VASP energy	-81.5	eV for the cell shown

***

Entry 7:
TbVAs2Rh5 | PBE | optimized geometry

Cell: 4.004 4.004 11.923 Å, 90.00 90.00 90.00°
Positions (direct):
As1 0.000 0.000 0.208
As2 0.000 0.000 0.792
Rh1 0.000 0.500 0.324
Rh2 0.500 0.000 0.324
Rh3 0.000 0.500 0.676
Rh4 0.500 0.000 0.676
Rh5 0.000 0.000 0.500
Tb1 0.500 0.500 0.500
V1 0.000 0.000 0.000

Computed properties:
spin magnetization	3.37	μB per formula unit
VASP energy	-60.4	eV for the cell shown
energy of formation	-0.06	eV per atom

***

Entry 8:
HoTmTl4 | PBE | optimized geometry

Cell: 5.027 5.030 7.524 Å, 89.94 89.94 94.97°
Positions (direct):
Tl1 0.002 0.497 0.745
Tl2 0.501 0.998 0.746
Tl3 0.001 0.498 0.251
Tl4 0.502 0.997 0.251
Ho1 0.501 0.497 0.998
Tm1 0.001 0.997 0.498

Computed properties:
spin magnetization	0.00	μB per formula unit
VASP energy	-18.4	eV for the cell shown
energy of formation	0.02	eV per atom

***

Entry 9:
Ir8Os5Ru | PBE | optimized geometry

Cell: 6.558 6.558 6.558 Å, 109.35 109.72 109.35°
Positions (direct):
Ir1 0.134 0.691 0.071
Ir2 0.512 0.593 0.239
Ir3 0.081 0.726 0.488
Ir4 0.380 0.309 0.443
Ir5 0.557 0.937 0.866
Ir6 0.645 0.407 0.919
Ir7 0.761 0.274 0.355
Ir8 0.929 0.063 0.620
Os1 0.500 0.000 0.500
Os2 0.886 0.908 0.184
Os3 0.816 0.701 0.723
Os4 0.277 0.092 0.978
Os5 0.022 0.299 0.114
Ru1 0.250 0.500 0.750

Computed properties:
spin magnetization	0.00	μB per formula unit
VASP energy	-129.5	eV for the cell shown
energy of formation	0.49	eV per atom

***

Entry 10:
Na2AgH | PBE | optimized geometry

Cell: 4.931 4.931 4.931 Å, 60.00 60.00 60.00°
Positions (direct):
Na1 0.750 0.750 0.750
Na2 0.250 0.250 0.250
Ag1 0.500 0.500 0.500
H1 0.000 0.000 0.000

Computed properties:
spin magnetization	0.00	μB per formula unit
ΔE to the lowest computed polymorph	272.6	meV/atom
VASP energy	-7.9	eV for the cell shown

***

Entry 11:
Li4TlHg2Pb | PBE | optimized geometry

Cell: 4.827 4.827 8.331 Å, 73.16 73.16 60.00°
Positions (direct):
Li1 0.125 0.125 0.624
Li2 0.375 0.375 0.876
Li3 0.875 0.875 0.376
Li4 0.625 0.625 0.124
Pb1 0.000 0.000 0.000
Hg1 0.751 0.751 0.746
Hg2 0.249 0.249 0.254
Tl1 0.500 0.500 0.500

Computed properties:
spin magnetization	0.00	μB per formula unit
VASP energy	-16.7	eV for the cell shown
energy of formation	-0.30	eV per atom

***

Entry 12:
Cs2Pm2PdO6 | PBE | optimized geometry

Cell: 6.005 6.005 7.219 Å, 97.16 97.16 119.56°
Positions (direct):
Pm1 0.665 0.335 0.500
Pm2 0.335 0.665 0.500
Pd1 0.000 0.000 0.500
Cs1 0.836 0.164 0.000
Cs2 0.164 0.836 0.000
O1 0.249 0.249 0.340
O2 0.751 0.751 0.660
O3 0.955 0.651 0.344
O4 0.651 0.955 0.344
O5 0.349 0.045 0.656
O6 0.045 0.349 0.656

Computed properties:
spin magnetization	0.00	μB per formula unit
VASP energy	-67.5	eV for the cell shown

***

- What is the formula in the third record?
  KInSb2Pb